(1)
## Ba4Si22Au (PBE)

Data for crystalline Ba4Si22Au at its relaxed geometry.

abc: 10.409 10.492 10.409
angles: 90.00 89.97 90.00
Element x y z (fractional)
Si 0.315 0.936 0.181
Si 0.001 0.500 0.001
Si 0.810 0.632 0.998
Si 0.300 0.250 0.381
Si 0.693 0.250 0.620
Si 0.183 0.065 0.688
Si 0.502 0.054 0.117
Si 0.183 0.435 0.688
Si 0.997 0.127 0.193
Si 0.001 0.000 0.001
Si 0.318 0.937 0.814
Si 0.810 0.868 0.998
Si 0.881 0.556 0.503
Si 0.502 0.446 0.117
Si 0.498 0.250 0.750
Si 0.315 0.564 0.181
Si 0.181 0.436 0.315
Si 0.503 0.056 0.881
Si 0.117 0.946 0.502
Si 0.814 0.063 0.318
Si 0.181 0.064 0.315
Si 0.303 0.250 0.620
Si 0.117 0.554 0.502
Si 0.620 0.750 0.693
Si 0.688 0.935 0.183
Si 0.695 0.250 0.384
Si 0.998 0.368 0.810
Si 0.318 0.563 0.814
Si 0.688 0.565 0.183
Si 0.814 0.066 0.687
Si 0.997 0.373 0.193
Si 0.193 0.873 0.997
Si 0.750 0.750 0.498
Si 0.503 0.444 0.881
Si 0.193 0.627 0.997
Si 0.881 0.944 0.503
Si 0.687 0.934 0.814
Si 0.814 0.437 0.318
Si 0.687 0.566 0.814
Si 0.998 0.132 0.810
Si 0.814 0.434 0.687
Si 0.620 0.750 0.303
Si 0.384 0.750 0.695
Si 0.381 0.750 0.300
Ba 0.488 0.000 0.488
Ba 0.012 0.750 0.256
Ba 0.256 0.250 0.012
Ba 0.499 0.750 0.000
Ba 0.000 0.250 0.499
Ba 0.013 0.750 0.746
Ba 0.746 0.250 0.013
Ba 0.488 0.500 0.488
Au 0.251 0.750 0.499
Au 0.499 0.250 0.251

Results
Final energy: -5.00 eV per atom
Volume: 1136.7 Å³/cell

=====

(2)
## BaSiAu2 (PBE)

Data for crystalline BaSiAu2 at its relaxed geometry.

abc: 5.536 5.536 5.536
angles: 135.11 112.62 84.66
Element x y z (fractional)
Si 0.250 0.750 0.500
Au 0.069 0.069 0.000
Au 0.431 0.431 0.000
Ba 0.750 0.250 0.500

Results
Final energy: -3.71 eV per atom
Volume: 106.3 Å³/cell

=====

(3)
## BaSi4Au12 (PBE)

Data for crystalline BaSi4Au12 at its relaxed geometry.

abc: 7.737 7.737 7.737
angles: 109.47 109.47 109.47
Element x y z (fractional)
Si 0.000 0.500 0.000
Si 0.500 0.500 0.500
Si 0.500 0.000 0.000
Si 0.000 0.000 0.500
Au 0.657 0.823 0.166
Au 0.343 0.177 0.834
Au 0.166 0.657 0.823
Au 0.166 0.343 0.509
Au 0.491 0.834 0.657
Au 0.823 0.166 0.657
Au 0.509 0.166 0.343
Au 0.343 0.509 0.166
Au 0.834 0.657 0.491
Au 0.657 0.491 0.834
Au 0.834 0.343 0.177
Au 0.177 0.834 0.343
Ba 0.000 0.000 0.000

Results
Final energy: -3.76 eV per atom
Volume: 356.6 Å³/cell

=====

(4)
## BaSiAu3 (PBE)

Data for crystalline BaSiAu3 at its relaxed geometry.

abc: 14.182 8.966 8.966
angles: 118.67 136.36 43.64
Element x y z (fractional)
Au 0.037 0.868 0.828
Au 0.963 0.132 0.172
Au 0.350 0.460 0.840
Au 0.573 0.274 0.773
Au 0.463 0.328 0.368
Au 0.650 0.540 0.160
Au 0.150 0.340 0.960
Au 0.927 0.273 0.774
Au 0.850 0.660 0.040
Au 0.427 0.726 0.227
Au 0.537 0.672 0.632
Au 0.073 0.727 0.226
Si 0.250 0.495 0.995
Si 0.750 0.505 0.005
Si 0.750 0.225 0.725
Si 0.250 0.775 0.275
Ba 0.735 0.118 0.268
Ba 0.235 0.232 0.382
Ba 0.265 0.882 0.732
Ba 0.765 0.768 0.618

Results
Final energy: -3.83 eV per atom
ΔE to the lowest computed polymorph: 158 meV per atom
Volume: 540.6 Å³/cell

=====

> volume of number 4 (BaSiAu3)?

540.6 Å³/cell

=====

> What is the final energy in the fourth record?

-3.83 eV per atom

=====

> Look up the final energy of the third one.

-3.76 eV per atom

=====

> Which of these has the lowest final energy?

Ba4Si22Au